Entry 1:
An optimized crystal structure of Er6BiPd2. Source: Alexandria, functional PBE.

- Energy of formation from the pure elements: -0.577 eV/atom
- Calculated volume: 484 Å³ per cell
- Fermi-level density of states: 14.94 states/eV/cell

Lattice parameters (Å, degrees): 8.5846 8.5846 8.5846 104.67 113.97 109.90
Fractional coordinates of all 18 atoms:
Bi 0.0000 0.0000 0.0000
Bi 0.0000 0.5000 0.5000
Pd 0.5000 0.8682 0.3682
Pd 0.3460 0.3460 0.0000
Pd 0.6540 0.6540 0.0000
Pd 0.5000 0.1318 0.6318
Er 0.7942 0.5603 0.7661
Er 0.5251 0.8172 0.7079
Er 0.1092 0.8172 0.2921
Er 0.3057 0.3272 0.6330
Er 0.6943 0.3272 0.0215
Er 0.2058 0.4397 0.2339
Er 0.2058 0.9719 0.7661
Er 0.8908 0.1828 0.7079
Er 0.3057 0.6728 0.9785
Er 0.4749 0.1828 0.2921
Er 0.6943 0.6728 0.3670
Er 0.7942 0.0281 0.2339

***

Entry 2:
An optimized crystal structure of ErBi2Pd9. Source: Alexandria, functional PBE.

- Energy of formation from the pure elements: -0.468 eV/atom
- Calculated volume: 211 Å³ per cell
- Fermi-level density of states: 3.91 states/eV/cell

Lattice parameters (Å, degrees): 4.1253 4.1253 12.3786 90.00 90.00 90.00
Fractional coordinates of all 12 atoms:
Pd 0.0000 0.5000 0.1646
Pd 0.0000 0.5000 0.8354
Pd 0.5000 0.0000 0.1646
Pd 0.5000 0.5000 0.6641
Pd 0.5000 0.0000 0.8354
Pd 0.5000 0.0000 0.5000
Pd 0.5000 0.5000 0.3359
Pd 0.0000 0.5000 0.5000
Pd 0.5000 0.5000 0.0000
Bi 0.0000 0.0000 0.3297
Bi 0.0000 0.0000 0.6703
Er 0.0000 0.0000 0.0000

***

Entry 3:
An optimized crystal structure of ErBiPd6. Source: Alexandria, functional PBE.

- Energy of formation from the pure elements: -0.580 eV/atom
- Calculated volume: 140 Å³ per cell
- Energy above the most stable polymorph in this dataset: 0.000 eV per atom
- Fermi-level density of states: 3.70 states/eV/cell

Lattice parameters (Å, degrees): 4.1088 4.1088 8.2845 90.00 90.00 90.00
Fractional coordinates of all 8 atoms:
Pd 0.0000 0.5000 0.2522
Pd 0.5000 0.5000 0.0000
Pd 0.5000 0.0000 0.2522
Pd 0.5000 0.0000 0.7478
Pd 0.0000 0.5000 0.7478
Pd 0.5000 0.5000 0.5000
Bi 0.0000 0.0000 0.0000
Er 0.0000 0.0000 0.5000

***

Entry 4:
An optimized crystal structure of Er4BiPd. Source: Alexandria, functional PBE.

- Energy of formation from the pure elements: -0.588 eV/atom
- Calculated volume: 650 Å³ per cell
- Energy above the most stable polymorph in this dataset: 0.000 eV per atom
- Fermi-level density of states: 25.31 states/eV/cell

Lattice parameters (Å, degrees): 4.0188 8.3162 19.4350 90.00 90.00 90.00
Fractional coordinates of all 24 atoms:
Er 0.7500 0.9487 0.2131
Er 0.7500 0.8517 0.4479
Er 0.7500 0.3729 0.8479
Er 0.2500 0.6483 0.9479
Er 0.7500 0.5232 0.5670
Er 0.2500 0.1271 0.3479
Er 0.7500 0.8729 0.6521
Er 0.2500 0.6271 0.1521
Er 0.2500 0.9768 0.0670
Er 0.2500 0.4768 0.4330
Er 0.7500 0.4487 0.2869
Er 0.2500 0.1483 0.5521
Er 0.7500 0.0232 0.9330
Er 0.2500 0.0513 0.7869
Er 0.7500 0.3517 0.0521
Er 0.2500 0.5513 0.7131
Bi 0.2500 0.2505 0.1860
Bi 0.7500 0.2495 0.6860
Bi 0.7500 0.7495 0.8140
Bi 0.2500 0.7505 0.3140
Pd 0.7500 0.7208 0.0538
Pd 0.2500 0.2792 0.9462
Pd 0.2500 0.7792 0.5538
Pd 0.7500 0.2208 0.4462

***

Entry 5:
An optimized crystal structure of ErBi4Pd15. Source: Alexandria, functional PBE.

- Energy of formation from the pure elements: -0.371 eV/atom
- Calculated volume: 353 Å³ per cell
- Fermi-level density of states: 10.32 states/eV/cell

Lattice parameters (Å, degrees): 4.1350 4.1350 20.6310 90.00 90.00 90.00
Fractional coordinates of all 20 atoms:
Pd 0.5000 0.0000 0.9015
Pd 0.5000 0.5000 0.6005
Pd 0.5000 0.0000 0.0985
Pd 0.5000 0.5000 0.3995
Pd 0.5000 0.0000 0.7009
Pd 0.5000 0.5000 0.2010
Pd 0.5000 0.5000 0.7990
Pd 0.0000 0.5000 0.0985
Pd 0.5000 0.0000 0.2991
Pd 0.5000 0.5000 0.0000
Pd 0.0000 0.5000 0.7009
Pd 0.0000 0.5000 0.2991
Pd 0.0000 0.5000 0.9015
Pd 0.5000 0.0000 0.5000
Pd 0.0000 0.5000 0.5000
Er 0.0000 0.0000 0.0000
Bi 0.0000 0.0000 0.3993
Bi 0.0000 0.0000 0.8029
Bi 0.0000 0.0000 0.6007
Bi 0.0000 0.0000 0.1971

***

Entry 6:
An optimized crystal structure of ErBi2Pd. Source: Alexandria, functional PBE.

- Energy of formation from the pure elements: -0.064 eV/atom
- Calculated volume: 112 Å³ per cell
- Fermi-level density of states: 3.53 states/eV/cell

Lattice parameters (Å, degrees): 3.5324 3.5324 10.5305 80.34 80.34 60.00
Fractional coordinates of all 4 atoms:
Bi 0.1014 0.1014 0.6958
Bi 0.8986 0.8986 0.3042
Pd 0.5000 0.5000 0.5000
Er 0.0000 0.0000 0.0000

***

The lowest energy of formation from the pure elements belongs to which entry? Er4BiPd

***

Among the records above, which one has the lowest calculated volume? ErBi2Pd

***

calculated volume of number 5 (ErBi4Pd15)? 353 Å³ per cell

***

Among the records above, which one has the lowest energy of formation from the pure elements? Er4BiPd